(1)
A plane-wave DFT calculation with PBE-GGA was carried out for a relaxed structure of SrSn4Pd6.

ΔE_f in meV per atom: -618
Raw total energy in eV per atom: -5.06
Energy above the lowest structure with this stoichiometry in eV per atom: 0.0000
M_tot in μB per formula unit: 0.0
Crystal system: hexagonal
DOS at the Fermi energy in states/eV/f.u.: 3.9

Geometry as CIF:
```
data_SrSn4Pd6
_cell_length_a 7.7310
_cell_length_b 7.7310
_cell_length_c 4.2685
_cell_angle_alpha 90.00
_cell_angle_beta 90.00
_cell_angle_gamma 120.00
_space_group_name_H-M_alt 'P -6 m 2'
_space_group_IT_number 187
_space_group_name_Hall 'P -6 2'
loop_
_atom_site_label
_atom_site_type_symbol
_atom_site_fract_x
_atom_site_fract_y
_atom_site_fract_z
Sr1 Sr 0.0000 0.0000 0.0000
Sn1 Sn 0.3333 0.6667 0.0000
Sn2 Sn 0.3878 0.1939 0.5000
Pd1 Pd 0.2044 0.4088 0.5000
Pd2 Pd 0.5371 0.0742 0.0000
```

(2)
A plane-wave DFT calculation with PBE-GGA was carried out for a relaxed structure of Sr3SnPd.

ΔE_f in meV per atom: -392
Raw total energy in eV per atom: -3.24
Energy above the lowest structure with this stoichiometry in eV per atom: 0.0000
M_tot in μB per formula unit: 0.0
Crystal system: cubic
DOS at the Fermi energy in states/eV/f.u.: 3.5

Geometry as CIF:
```
data_Sr3SnPd
_cell_length_a 5.778
_cell_length_b 5.778
_cell_length_c 5.778
_cell_angle_alpha 90.00
_cell_angle_beta 90.00
_cell_angle_gamma 90.00
_space_group_name_H-M_alt 'P m -3 m'
_space_group_IT_number 221
_space_group_name_Hall '-P 4 2 3'
loop_
_atom_site_label
_atom_site_type_symbol
_atom_site_fract_x
_atom_site_fract_y
_atom_site_fract_z
Sr1 Sr 0.000 0.000 0.500
Sn1 Sn 0.500 0.500 0.500
Pd1 Pd 0.000 0.000 0.000
```

Number 1 is which compound? SrSn4Pd6

Which value of energy above the lowest structure with this stoichiometry does entry 1 give? 0.0000 eV per atom

Which of these has the highest raw total energy? Sr3SnPd